# Cs4UIn3Cl12 | the Alexandria database | PBE-GGA | relaxed
# DOS(E_F) (states/eV per atom): 0.661
# Final energy (eV/atom): -3.79
# Uncorrected formation energy (meV per atom): -1535.6
# Magnetization (μB per formula unit): 2.3
data_Cs4UIn3Cl12
_cell_length_a 11.391
_cell_length_b 11.391
_cell_length_c 11.391
_cell_angle_alpha 90.00
_cell_angle_beta 90.00
_cell_angle_gamma 90.00
_space_group_name_H-M_alt 'I m -3 m'
_space_group_IT_number 229
_space_group_name_Hall '-I 4 2 3'
loop_
_atom_site_label
_atom_site_fract_x
_atom_site_fract_y
_atom_site_fract_z
Cs1 0.250 0.250 0.250
U1 0.000 0.000 0.000
In1 0.000 0.000 0.500
Cl1 0.000 0.000 0.232
Cl2 0.000 0.250 0.500

***

# LiNi2Rh | the Alexandria database | PBE-GGA | relaxed
# DOS(E_F) (states/eV per atom): 1.152
# Final energy (eV/atom): -5.25
# Magnetization (μB per formula unit): 1.2
data_LiNi2Rh
_cell_length_a 2.594
_cell_length_b 4.194
_cell_length_c 4.438
_cell_angle_alpha 90.00
_cell_angle_beta 90.00
_cell_angle_gamma 90.00
_space_group_name_H-M_alt 'P m m 2'
_space_group_IT_number 25
_space_group_name_Hall 'P 2 -2'
loop_
_atom_site_label
_atom_site_fract_x
_atom_site_fract_y
_atom_site_fract_z
Li1 0.000 0.000 0.000
Ni1 0.500 0.000 0.507
Ni2 0.500 0.500 0.854
Rh1 0.000 0.500 0.357